Record 1
# Cd3Pd4Pt

Crystalline Cd3Pd4Pt at its relaxed geometry (PBE, Alexandria).

```
Cd3Pd4Pt
1.0
-3.379 -1.219 -0.995
1.766 -2.540 -2.886
0.540 -6.274 5.853
Pd Cd Pt
4 3 1
direct
0.000 0.000 0.000
0.000 0.500 0.751
0.000 0.000 0.500
0.000 0.500 0.249
0.500 0.000 0.241
0.500 0.500 0.500
0.500 0.000 0.759
0.500 0.500 0.000
```

Summary:
**Calculated formation energy**: -0.320 eV per atom
**E**: -32.1 eV/cell
**Magnetization**: 0.0 μB per formula unit
**Offset from the most stable computed form**: 0.00 kcal/mol of atoms

***

Record 2
# CsK2Al

Crystalline CsK2Al at its relaxed geometry (PBE, Alexandria).

```
CsK2Al
1.0
7.735 0.002 -0.001
1.876 8.741 -0.004
3.137 3.752 7.757
Al Cs K
2 2 4
direct
0.069 0.431 0.355
0.985 0.566 0.073
0.556 0.336 0.480
0.470 0.741 0.978
0.943 0.411 0.783
0.061 0.956 0.658
0.327 0.213 0.106
0.842 0.859 0.268
```

Summary:
**Calculated formation energy**: 0.197 eV per atom
**E**: -12.0 eV/cell
**Magnetization**: 0.0 μB per formula unit
**Offset from the most stable computed form**: 0.49 kcal/mol of atoms

***

Record 3
# EuIn3Co

Crystalline EuIn3Co at its relaxed geometry (PBE, Alexandria).

```
EuIn3Co
1.0
-0.069 -4.772 1.411
2.590 1.170 4.086
-4.249 0.791 2.467
In Eu Co
3 1 1
direct
0.500 0.000 0.000
0.000 0.500 0.000
0.000 0.000 0.500
0.500 0.500 0.500
0.000 0.000 0.000
```

Summary:
**Calculated formation energy**: -0.206 eV per atom
**E**: -26.6 eV/cell
**Magnetization**: 7.7 μB per formula unit

***

> Look up the calculated formation energy of the third one.

-0.206 eV per atom